This record from the Alexandria database describes a relaxed ZrNb2WAu crystal. The functional is PBE-GGA. Values from VASP.

ΔH_f (0 K): 1.6544 eV/atom
raw total energy: -7.33 eV per atom
space group: P4/mmm (123)

Structure (Quantum ESPRESSO input):
```
&SYSTEM
  ibrav = 0, nat = 5, ntyp = 4
/
ATOMIC_SPECIES
Nb 92.91 Nb.upf
W 183.84 W.upf
Au 196.97 Au.upf
Zr 91.22 Zr.upf
CELL_PARAMETERS angstrom
-0.5664 3.4468 -3.4842
-3.1621 -2.9044 -2.3592
-3.7255 1.9762 2.5606
ATOMIC_POSITIONS crystal
Nb 0.5000 0.0000 0.0000
W 0.0000 0.5000 0.0000
Nb 0.0000 0.0000 0.5000
Au 0.0000 0.0000 0.0000
Zr 0.5000 0.5000 0.5000
```